No. 1
The following is a PBE calculation of a relaxed Sm2PdRh crystal, from the Alexandria database.

Cell and atoms, written as POSCAR:
```
Sm2PdRh
1.0
5.003 0.000 0.000
2.502 4.333 0.000
2.502 1.444 4.085
Pd Sm Rh
1 2 1
Direct
0.750 0.750 0.750
0.000 0.000 0.000
0.500 0.500 0.500
0.250 0.250 0.250
```

Its formation enthalpy at 0 K is -0.7707 eV per atom. For the density of states at the Fermi level, the calculation gives 3.3 states/eV per cell.

No. 2
The following is a PBE calculation of a relaxed SmPdRh crystal, from the Alexandria database.

Cell and atoms, written as POSCAR:
```
SmPdRh
1.0
-3.765 -0.170 -0.364
-0.362 -1.044 4.238
-0.070 4.201 -1.234
Rh Sm Pd
1 1 1
Direct
0.167 0.333 0.667
0.667 0.667 0.333
0.167 0.000 0.000
```

Its formation enthalpy at 0 K is -0.5952 eV per atom. For the density of states at the Fermi level, the calculation gives 0.2 states/eV per cell. The value obtained for the energy above the most stable polymorph in this dataset is 108.7 meV/atom.

No. 3
The following is a PBE calculation of a relaxed SmPdRh crystal, from the Alexandria database.

Cell and atoms, written as POSCAR:
```
SmPdRh
1.0
4.924 0.000 0.000
0.000 3.907 0.000
0.000 1.953 7.018
Sm Pd Rh
2 2 2
Direct
0.750 0.625 0.750
0.250 0.375 0.250
0.250 0.171 0.657
0.750 0.829 0.343
0.000 0.000 0.000
0.500 0.000 0.000
```

Its formation enthalpy at 0 K is -0.3628 eV per atom. For the density of states at the Fermi level, the calculation gives 4.0 states/eV per cell. The value obtained for the energy above the most stable polymorph in this dataset is 341.2 meV/atom.